Density functional theory data (PBE) for a relaxed HfCrNi6 crystal.

The structure in extended XYZ format:
```
32
Lattice="3.6371 -5.1617 0.0000 3.6371 5.1617 0.0000 0.0000 0.0000 10.3244" Properties=species:S:1:pos:R:3 pbc="T T T"
Hf 0.0000 0.0000 2.5474
Hf 0.0000 0.0000 7.7770
Hf 3.6371 2.6140 5.1622
Hf 3.6371 -2.6140 5.1622
Cr 3.6371 2.6522 0.0000
Cr 3.6371 0.0000 2.5216
Cr 3.6371 0.0000 7.8028
Cr 3.6371 -2.6522 0.0000
Ni 0.0000 0.0000 0.0000
Ni 0.0000 0.0000 5.1622
Ni 1.8628 1.3110 1.2481
Ni 1.8628 1.3110 9.0763
Ni 1.8697 1.2705 3.8232
Ni 1.8697 1.2705 6.5012
Ni 3.6371 2.5398 2.5029
Ni 3.6371 2.5398 7.8215
Ni 1.8697 -1.2705 3.8232
Ni 1.8697 -1.2705 6.5012
Ni 1.8628 -1.3110 1.2481
Ni 1.8628 -1.3110 9.0763
Ni 3.6371 0.0000 0.0000
Ni 3.6371 0.0000 5.1622
Ni 5.4113 1.3110 1.2481
Ni 5.4113 1.3110 9.0763
Ni 5.4044 1.2705 3.8232
Ni 5.4044 1.2705 6.5012
Ni 3.6371 -2.5398 2.5029
Ni 3.6371 -2.5398 7.8215
Ni 5.4044 -1.2705 3.8232
Ni 5.4044 -1.2705 6.5012
Ni 5.4113 -1.3110 1.2481
Ni 5.4113 -1.3110 9.0763
```

E_form in eV per atom: -0.239
E in eV per atom: -7.0217
Total magnetization in μB per formula unit: 2.275


Density functional theory data (PBE) for a relaxed Hf2Cr2Ni crystal.

The structure in extended XYZ format:
```
10
Lattice="6.2800 0.0000 0.0000 0.0000 6.2800 0.0000 0.0000 0.0000 4.0517" Properties=species:S:1:pos:R:3 pbc="T T T"
Hf 1.1462 1.9938 0.0000
Hf 1.9938 5.1338 0.0000
Hf 4.2862 1.1462 0.0000
Hf 5.1338 4.2862 0.0000
Cr 0.7215 3.8615 2.0258
Cr 2.4185 0.7215 2.0258
Cr 3.8615 5.5585 2.0258
Cr 5.5585 2.4185 2.0258
Ni 0.0000 0.0000 2.0258
Ni 3.1400 3.1400 2.0258
```

E_form in eV per atom: 0.080
E in eV per atom: -8.9065
Total magnetization in μB per formula unit: 0.000


Density functional theory data (PBE) for a relaxed Hf2CrNi9 crystal.

The structure in extended XYZ format:
```
12
Lattice="3.6851 0.0000 0.0000 0.0000 3.6851 0.0000 0.0000 0.0000 10.9653" Properties=species:S:1:pos:R:3 pbc="T T T"
Hf 0.0000 0.0000 1.8963
Hf 0.0000 0.0000 9.0690
Cr 0.0000 0.0000 5.4827
Ni 0.0000 1.8425 0.0000
Ni 0.0000 1.8425 3.7614
Ni 0.0000 1.8425 7.2039
Ni 1.8425 0.0000 0.0000
Ni 1.8425 0.0000 3.7614
Ni 1.8425 0.0000 7.2039
Ni 1.8425 1.8425 1.8719
Ni 1.8425 1.8425 5.4827
Ni 1.8425 1.8425 9.0934
```

E_form in eV per atom: -0.327
E in eV per atom: -7.1237
Total magnetization in μB per formula unit: 2.651


Density functional theory data (PBE) for a relaxed HfCrNi4 crystal.

The structure in extended XYZ format:
```
6
Lattice="0.0000 3.3865 3.3865 3.3865 0.0000 3.3865 3.3865 3.3865 0.0000" Properties=species:S:1:pos:R:3 pbc="T T T"
Hf 0.0000 0.0000 0.0000
Cr 1.6932 1.6932 1.6932
Ni 4.2289 2.5441 2.5441
Ni 2.5441 4.2289 2.5441
Ni 2.5441 2.5441 4.2289
Ni 4.2289 4.2289 4.2289
```

E_form in eV per atom: -0.268
E in eV per atom: -7.3854
Total magnetization in μB per formula unit: 4.483